First-principles (GGA-PBEsol) data for a relaxed structure of TiTeP2Cl, as listed in Alexandria via LeMat-Bulk.

Unit cell a=5.032 b=5.032 c=4.927 alpha=90.00 beta=90.00 gamma=90.00
Space group P4/mmm (No. 123)
Asymmetric unit:
Ti 0.000 0.000 0.000 [1 per cell]
Te 0.500 0.500 0.500 [1 per cell]
P 0.000 0.500 0.500 [2 per cell]
Cl 0.500 0.500 0.000 [1 per cell]

## Properties
E above lowest polymorph ... 1.036 eV/atom
N(E_F) ... 1.539 states/eV per atom
Formation energy from raw total energies ... 0.98 eV per atom
Total magnetization ... 1.7 μB per cell